1.
AcLa7Pr12, optimized geometry, DFT PBE; electronic total energy = -4.731 eV per atom; excess energy over the best structure of this formula in the dataset = 0.000 eV/f.u.; space-group type = No. 166
1.0
-1.964 -1.309 8.866
-7.777 -3.127 -3.732
5.383 -7.291 -1.431
La Pr Ac
7 12 1
Direct
0.146 0.146 0.416 La
0.584 0.854 0.854 La
0.146 0.416 0.146 La
0.416 0.146 0.146 La
0.854 0.854 0.584 La
0.854 0.584 0.854 La
0.500 0.500 0.500 La
0.740 0.260 0.000 Pr
0.406 0.840 0.406 Pr
0.000 0.740 0.260 Pr
0.260 0.740 0.000 Pr
0.406 0.406 0.840 Pr
0.000 0.260 0.740 Pr
0.160 0.594 0.594 Pr
0.740 0.000 0.260 Pr
0.594 0.160 0.594 Pr
0.594 0.594 0.160 Pr
0.260 0.000 0.740 Pr
0.840 0.406 0.406 Pr
0.000 0.000 0.000 Ac

2.
Ac3La4Pr2, optimized geometry, DFT PBE; electronic total energy = -4.543 eV per atom; excess energy over the best structure of this formula in the dataset = 0.537 eV/f.u.; space-group type = No. 15
1.0
-3.540 -5.237 1.308
3.156 -1.089 10.297
-7.103 4.906 6.531
Ac La Pr
6 8 4
Direct
0.411 0.274 0.058 Ac
0.250 0.394 0.606 Ac
0.589 0.726 0.942 Ac
0.911 0.058 0.274 Ac
0.750 0.606 0.394 Ac
0.089 0.942 0.726 Ac
0.188 0.759 0.480 La
0.812 0.241 0.520 La
0.978 0.185 0.911 La
0.522 0.089 0.815 La
0.688 0.480 0.759 La
0.312 0.520 0.241 La
0.478 0.911 0.185 La
0.022 0.815 0.089 La
0.856 0.415 0.152 Pr
0.644 0.848 0.585 Pr
0.356 0.152 0.415 Pr
0.144 0.585 0.848 Pr

3.
Ac3La2Pr, optimized geometry, DFT PBE; electronic total energy = -4.171 eV per atom; excess energy over the best structure of this formula in the dataset = 1.451 eV/f.u.; space-group type = No. 71
1.0
-1.939 2.759 1.596
-2.055 -4.080 4.554
10.239 3.058 2.792
Ac La Pr
3 2 1
Direct
0.187 0.187 0.374 Ac
0.813 0.813 0.626 Ac
0.000 0.500 0.000 Ac
0.639 0.639 0.278 La
0.361 0.361 0.722 La
0.000 0.000 0.000 Pr

4.
Ac3La2Pr4, optimized geometry, DFT PBE; electronic total energy = -4.566 eV per atom; excess energy over the best structure of this formula in the dataset = 0.000 eV/f.u.; space-group type = No. 2
1.0
5.224 -0.003 1.442
-0.614 8.218 2.248
0.492 0.357 8.477
La Pr Ac
2 4 3
Direct
0.775 0.669 0.448 La
0.225 0.331 0.552 La
0.114 0.668 0.771 Pr
0.330 0.002 0.340 Pr
0.670 0.998 0.660 Pr
0.886 0.332 0.229 Pr
0.000 0.000 0.000 Ac
0.443 0.666 0.113 Ac
0.557 0.334 0.887 Ac

5.
Ac4La5Pr, optimized geometry, DFT PBE; electronic total energy = -4.428 eV per atom; excess energy over the best structure of this formula in the dataset = 0.000 eV/f.u.; space-group type = No. 12
1.0
3.711 0.000 -0.803
-1.701 9.038 -7.860
1.280 -3.109 14.889
La Ac Pr
5 4 1
Direct
0.172 0.800 0.344 La
0.172 0.386 0.344 La
0.828 0.200 0.656 La
0.828 0.614 0.656 La
0.500 0.500 0.000 La
0.032 0.313 0.063 Ac
0.968 0.687 0.937 Ac
0.337 0.925 0.674 Ac
0.663 0.075 0.326 Ac
0.500 0.000 0.000 Pr

6.
Ac8LaPr3, optimized geometry, DFT PBE; electronic total energy = -4.012 eV per atom; space-group type = No. 71
1.0
-1.202 -8.957 -2.651
0.925 -0.709 9.346
-5.646 7.532 0.310
Pr Ac La
3 8 1
Direct
0.500 0.279 0.779 Pr
0.500 0.721 0.221 Pr
0.000 0.500 0.500 Pr
0.163 0.914 0.751 Ac
0.502 0.264 0.237 Ac
0.498 0.736 0.763 Ac
0.973 0.736 0.237 Ac
0.837 0.588 0.751 Ac
0.027 0.264 0.763 Ac
0.163 0.412 0.249 Ac
0.837 0.086 0.249 Ac
0.000 0.000 0.000 La

7.
Ac5La4Pr2, optimized geometry, DFT PBE; electronic total energy = -4.361 eV per atom; excess energy over the best structure of this formula in the dataset = 0.439 eV/f.u.; space-group type = No. 71
1.0
-3.366 0.573 1.641
-0.108 -9.574 3.125
7.259 7.764 7.806
La Ac Pr
4 5 2
Direct
0.000 0.302 0.000 La
0.000 0.698 0.000 La
0.409 0.409 0.817 La
0.591 0.591 0.183 La
0.851 0.645 0.701 Ac
0.500 0.000 0.000 Ac
0.851 0.056 0.701 Ac
0.149 0.944 0.299 Ac
0.149 0.355 0.299 Ac
0.274 0.274 0.548 Pr
0.726 0.726 0.452 Pr

8.
AcLa2Pr, optimized geometry, DFT PBE; electronic total energy = -4.551 eV per atom; excess energy over the best structure of this formula in the dataset = 0.506 eV/f.u.; space-group type = No. 225
1.0
6.059 0.000 0.000
3.029 5.247 0.000
3.029 1.749 4.947
La Pr Ac
2 1 1
Direct
0.250 0.250 0.250 La
0.750 0.750 0.750 La
0.000 0.000 0.000 Pr
0.500 0.500 0.500 Ac

9.
AcLa6Pr8, optimized geometry, DFT PBE; electronic total energy = -4.648 eV per atom; excess energy over the best structure of this formula in the dataset = 0.304 eV/f.u.; space-group type = No. 148
1.0
8.075 -0.296 3.057
2.009 7.827 3.057
-0.396 -0.296 8.626
La Pr Ac
6 8 1
Direct
0.378 0.834 0.575 La
0.166 0.425 0.622 La
0.834 0.575 0.378 La
0.575 0.378 0.834 La
0.425 0.622 0.166 La
0.622 0.166 0.425 La
0.611 0.942 0.145 Pr
0.228 0.228 0.228 Pr
0.145 0.611 0.942 Pr
0.855 0.389 0.058 Pr
0.942 0.145 0.611 Pr
0.389 0.058 0.855 Pr
0.772 0.772 0.772 Pr
0.058 0.855 0.389 Pr
0.000 0.000 0.000 Ac

10.
AcLa14Pr, optimized geometry, DFT PBE; electronic total energy = -4.837 eV per atom; space-group type = No. 38
1.0
7.543 -0.109 0.000
-3.680 6.585 0.000
0.000 0.000 12.190
Pr La Ac
1 14 1
Direct
0.166 0.834 0.000 Pr
0.331 0.165 0.252 La
0.835 0.165 0.253 La
0.168 0.832 0.500 La
0.668 0.835 0.000 La
0.667 0.333 0.500 La
0.664 0.832 0.500 La
0.333 0.667 0.248 La
0.333 0.667 0.752 La
0.835 0.669 0.748 La
0.168 0.336 0.500 La
0.835 0.669 0.252 La
0.331 0.165 0.748 La
0.165 0.332 0.000 La
0.835 0.165 0.747 La
0.667 0.333 0.000 Ac

11.
Ac2LaPr9, optimized geometry, DFT PBE; electronic total energy = -4.575 eV per atom; space-group type = No. 123
1.0
6.252 0.000 0.000
0.000 6.252 0.000
0.000 0.000 11.534
Pr Ac La
9 2 1
Direct
0.000 0.500 0.839 Pr
0.500 0.000 0.839 Pr
0.000 0.500 0.500 Pr
0.500 0.500 0.334 Pr
0.500 0.500 0.000 Pr
0.500 0.000 0.500 Pr
0.500 0.500 0.666 Pr
0.500 0.000 0.161 Pr
0.000 0.500 0.161 Pr
0.000 0.000 0.330 Ac
0.000 0.000 0.670 Ac
0.000 0.000 0.000 La

12.
AcLa3Pr, optimized geometry, DFT PBE; electronic total energy = -4.533 eV per atom; excess energy over the best structure of this formula in the dataset = 0.457 eV/f.u.; space-group type = No. 63
1.0
-4.257 -0.994 -4.421
0.850 -3.592 4.361
-9.064 6.641 7.235
La Ac Pr
6 2 2
Direct
0.946 0.893 0.250 La
0.632 0.264 0.116 La
0.054 0.107 0.750 La
0.368 0.736 0.884 La
0.632 0.264 0.384 La
0.368 0.736 0.616 La
0.000 0.000 0.000 Ac
0.000 0.000 0.500 Ac
0.710 0.420 0.750 Pr
0.290 0.580 0.250 Pr

13.
Ac9La2Pr, optimized geometry, DFT PBE; electronic total energy = -4.286 eV per atom; space-group type = No. 123
1.0
5.554 0.000 0.000
0.000 5.554 0.000
0.000 0.000 16.658
Ac Pr La
9 1 2
Direct
0.000 0.500 0.500 Ac
0.500 0.500 0.333 Ac
0.000 0.500 0.834 Ac
0.500 0.000 0.500 Ac
0.500 0.500 0.667 Ac
0.500 0.000 0.834 Ac
0.000 0.500 0.166 Ac
0.500 0.000 0.166 Ac
0.500 0.500 0.000 Ac
0.000 0.000 0.000 Pr
0.000 0.000 0.333 La
0.000 0.000 0.667 La

14.
Ac4La3Pr, optimized geometry, DFT PBE; electronic total energy = -4.483 eV per atom; excess energy over the best structure of this formula in the dataset = 0.000 eV/f.u.; space-group type = No. 59
1.0
-0.625 -2.844 -4.638
5.937 -8.090 4.162
-9.084 -4.589 4.038
Ac La Pr
8 6 2
Direct
0.064 0.135 0.250 Ac
0.064 0.135 0.750 Ac
0.564 0.865 0.250 Ac
0.064 0.866 0.000 Ac
0.064 0.866 0.500 Ac
0.564 0.134 0.500 Ac
0.564 0.134 0.000 Ac
0.564 0.865 0.750 Ac
0.064 0.616 0.249 La
0.064 0.384 0.500 La
0.564 0.384 0.749 La
0.564 0.384 0.251 La
0.064 0.616 0.751 La
0.564 0.616 0.000 La
0.564 0.617 0.500 Pr
0.064 0.383 0.000 Pr

15.
Ac4La4Pr5, optimized geometry, DFT PBE; electronic total energy = -4.593 eV per atom; space-group type = No. 87
1.0
-3.675 3.911 -0.047
-6.095 -2.139 -7.767
-7.517 -3.310 5.882
Pr Ac La
5 4 4
Direct
0.459 0.228 0.854 Pr
0.541 0.772 0.146 Pr
0.313 0.146 0.228 Pr
0.000 0.000 0.000 Pr
0.687 0.854 0.772 Pr
0.918 0.462 0.701 Ac
0.381 0.701 0.538 Ac
0.619 0.299 0.462 Ac
0.082 0.538 0.299 Ac
0.773 0.378 0.076 La
0.151 0.076 0.622 La
0.227 0.622 0.924 La
0.849 0.924 0.378 La

16.
AcLa3Pr5, optimized geometry, DFT PBE; electronic total energy = -4.618 eV per atom; excess energy over the best structure of this formula in the dataset = 0.000 eV/f.u.; space-group type = No. 15
1.0
-0.939 4.134 -5.709
8.444 -3.477 0.522
-7.171 -8.459 -4.945
La Ac Pr
6 2 10
Direct
0.633 0.485 0.364 La
0.000 0.000 0.000 La
0.367 0.515 0.636 La
0.852 0.485 0.864 La
0.148 0.515 0.136 La
0.000 0.000 0.500 La
0.233 0.000 0.250 Ac
0.767 0.000 0.750 Ac
0.390 0.785 0.954 Pr
0.310 0.000 0.750 Pr
0.605 0.215 0.546 Pr
0.068 0.354 0.367 Pr
0.932 0.646 0.633 Pr
0.610 0.215 0.046 Pr
0.286 0.354 0.867 Pr
0.714 0.646 0.133 Pr
0.690 0.000 0.250 Pr
0.395 0.785 0.454 Pr

17.
Ac8La2Pr3, optimized geometry, DFT PBE; electronic total energy = -4.189 eV per atom; space-group type = No. 12
1.0
-5.488 -4.934 -0.670
1.783 -8.432 -5.818
1.480 -9.442 4.097
Ac Pr La
8 3 2
Direct
0.988 0.813 0.813 Ac
0.541 0.566 0.198 Ac
0.012 0.187 0.187 Ac
0.459 0.802 0.434 Ac
0.541 0.198 0.566 Ac
0.987 0.400 0.400 Ac
0.459 0.434 0.802 Ac
0.013 0.600 0.600 Ac
0.500 0.000 0.000 Pr
0.000 0.835 0.165 Pr
0.000 0.165 0.835 Pr
0.471 0.806 0.806 La
0.529 0.194 0.194 La

18.
Ac12LaPr6, optimized geometry, DFT PBE; electronic total energy = -4.208 eV per atom; space-group type = No. 166
1.0
9.353 0.321 -1.614
-1.969 9.149 -1.614
0.250 0.321 9.488
Ac Pr La
12 6 1
Direct
0.000 0.263 0.737 Ac
0.737 0.000 0.263 Ac
0.829 0.413 0.413 Ac
0.263 0.000 0.737 Ac
0.737 0.263 0.000 Ac
0.587 0.587 0.171 Ac
0.000 0.737 0.263 Ac
0.263 0.737 0.000 Ac
0.413 0.829 0.413 Ac
0.171 0.587 0.587 Ac
0.413 0.413 0.829 Ac
0.587 0.171 0.587 Ac
0.403 0.140 0.140 Pr
0.860 0.860 0.597 Pr
0.140 0.403 0.140 Pr
0.860 0.597 0.860 Pr
0.597 0.860 0.860 Pr
0.140 0.140 0.403 Pr
0.000 0.000 0.000 La

19.
AcLa5Pr4, optimized geometry, DFT PBE; electronic total energy = -4.586 eV per atom; excess energy over the best structure of this formula in the dataset = 1.798 eV/f.u.; space-group type = No. 71
1.0
5.136 0.000 1.417
2.333 8.457 1.559
0.310 0.150 8.896
La Pr Ac
5 4 1
Direct
0.595 0.339 0.971 La
0.905 0.029 0.661 La
0.905 0.661 0.029 La
0.595 0.971 0.339 La
0.750 0.500 0.500 La
0.982 0.268 0.268 Pr
0.250 0.325 0.675 Pr
0.518 0.732 0.732 Pr
0.250 0.675 0.325 Pr
0.250 0.000 0.000 Ac

20.
Ac7LaPr4, optimized geometry, DFT PBE; electronic total energy = -4.380 eV per atom; excess energy over the best structure of this formula in the dataset = 0.000 eV/f.u.; space-group type = No. 2
1.0
6.926 -1.982 2.999
0.771 6.303 2.390
2.941 -2.425 11.795
Ac Pr La
7 4 1
Direct
0.256 0.498 0.995 Ac
0.669 0.222 0.332 Ac
0.331 0.778 0.668 Ac
0.500 0.000 0.000 Ac
0.744 0.502 0.005 Ac
0.919 0.718 0.336 Ac
0.081 0.282 0.664 Ac
0.582 0.273 0.669 Pr
0.834 0.781 0.666 Pr
0.418 0.727 0.331 Pr
0.166 0.219 0.334 Pr
0.000 0.000 0.000 La

The size of the total moment results, record by record, are as follows: 0.00 0.00 0.03 0.00 0.00 0.00 0.00 1.91 0.00 0.00 0.00 0.00 0.00 0.00 0.00 0.00 0.00 0.00 0.00 0.00 μB/f.u..
The energy of formation results, record by record, are as follows: 66 78 323 23 157 332 167 135 146 30 105 201 15 16 26 136 201 155 201 21 meV/atom.
The V results, record by record, are as follows: 737.5 705.1 250.2 353.6 413.7 552.2 459.4 157.3 565.7 600.6 450.9 398.3 513.8 651.4 509.1 687.0 572.6 827.3 382.0 498.0 Å³ per cell.